8
Lattice="7.168 0.000 0.000 0.000 4.140 0.000 -2.383 0.000 7.366" Properties=species:S:1:pos:R:3 comment="K2CeYS4 (PBE, relaxed)" raw_formation_energy_ev_per_atom=-1.84 energy_ev_per_fu=-45.784 magnetic_moment_mub_per_cell=1.01 sg="No. 10" pbc="T T T"
K 0.000 0.000 0.000
K 3.584 2.070 0.000
Ce -1.192 2.070 3.683
Y 2.393 0.000 3.683
S 0.056 0.000 5.194
S 1.245 2.070 2.189
S 3.540 2.070 5.177
S 4.729 0.000 2.171